# 1
DFT (PBE) results for a relaxed Cs2HgGeH crystal.

Output
- Magnetization: 0.00 μB/f.u.
- Space group: P4/mmm, No. 123
- Calculated total energy: -8.61 eV for the cell shown

The structure in POSCAR format:
```
Cs2HgGeH
1.0
-1.155 6.210 3.603
-0.996 -2.571 4.113
7.029 0.235 1.849
Cs H Hg Ge
2 1 1 1
Direct
0.500 0.000 0.000
0.000 0.000 0.500
0.500 0.500 0.500
0.000 0.000 0.000
0.000 0.500 0.000
```

---

# 2
DFT (PBE) results for a relaxed Y2Ni12As3Pd crystal.

Output
- Magnetization: 0.00 μB/f.u.
- Space group: R-3m, No. 166
- DFT formation energy: -0.06 eV/atom

The structure in POSCAR format:
```
Y2Ni12As3Pd
1.0
6.117 -1.426 -1.012
1.780 6.023 -1.012
1.780 1.036 6.019
Y Ni As Pd
2 12 3 1
Direct
0.700 0.700 0.700
0.300 0.300 0.300
0.195 0.698 0.195
0.869 0.403 0.403
0.131 0.597 0.597
0.698 0.195 0.195
0.195 0.195 0.698
0.805 0.302 0.805
0.597 0.131 0.597
0.403 0.403 0.869
0.302 0.805 0.805
0.403 0.869 0.403
0.597 0.597 0.131
0.805 0.805 0.302
0.500 0.000 0.000
0.000 0.000 0.500
0.000 0.500 0.000
0.000 0.000 0.000
```

---

# 3
DFT (PBE) results for a relaxed LiPaCuS4 crystal.

Output
- Magnetization: 0.00 μB/f.u.
- Space group: Imma, No. 74
- ΔE_f (raw): -7.1 eV per formula unit

The structure in POSCAR format:
```
LiPaCuS4
1.0
7.460 0.000 0.000
3.730 6.304 -0.387
3.730 1.552 6.122
S Li Pa Cu
8 2 2 2
Direct
0.737 0.246 0.280
0.263 0.220 0.254
0.223 0.267 0.767
0.777 0.733 0.233
0.743 0.267 0.767
0.737 0.780 0.746
0.257 0.733 0.233
0.263 0.754 0.720
0.500 0.000 0.500
0.000 0.000 0.500
0.000 0.000 0.000
0.000 0.500 0.500
0.340 0.410 0.910
0.660 0.590 0.090
```

---

# 4
DFT (PBE) results for a relaxed Th2ZnSiRh6 crystal.

Output
- Magnetization: 0.00 μB/f.u.
- Space group: Fm-3m, No. 225
- ΔE_f (raw): -5.4 eV per formula unit

The structure in POSCAR format:
```
Th2ZnSiRh6
1.0
-5.075 2.726 2.817
0.869 -3.710 5.157
0.600 2.664 5.802
Rh Th Zn Si
6 2 1 1
Direct
0.743 0.257 0.000
0.257 0.743 0.000
0.257 0.257 0.000
0.743 0.743 0.000
0.257 0.257 0.487
0.743 0.743 0.513
0.750 0.250 0.500
0.250 0.750 0.500
0.000 0.000 0.000
0.500 0.500 0.000
```

---

# 5
DFT (PBE) results for a relaxed Ba2YCdSb crystal.

Output
- Magnetization: 0.00 μB/f.u.
- Space group: P4/mmm, No. 123
- ΔE_f (raw): 0.2 eV per formula unit

The structure in POSCAR format:
```
Ba2YCdSb
1.0
6.281 0.000 0.000
0.000 5.775 0.000
0.000 0.000 6.281
Y Ba Sb Cd
1 2 1 1
Direct
0.000 0.500 0.000
0.000 0.000 0.500
0.500 0.000 0.000
0.500 0.500 0.500
0.000 0.000 0.000
```

---

# 6
DFT (PBE) results for a relaxed Pm2CuPt3 crystal.

Output
- Magnetization: 0.00 μB/f.u.
- Space group: P6_3/mmc, No. 194
- Excess energy over the best structure of this formula in the dataset: 0 meV per atom
- DFT formation energy: -0.92 eV/atom

The structure in POSCAR format:
```
Pm2CuPt3
1.0
-4.817 -2.727 -0.610
3.142 -0.873 4.514
-4.090 6.315 4.068
Pt Pm Cu
6 4 2
Direct
0.668 0.834 0.250
0.332 0.166 0.750
0.166 0.834 0.250
0.834 0.166 0.750
0.834 0.668 0.750
0.166 0.332 0.250
0.333 0.667 0.560
0.333 0.667 0.940
0.667 0.333 0.060
0.667 0.333 0.440
0.000 0.000 0.500
0.000 0.000 0.000
```

---

# 7
DFT (PBE) results for a relaxed VCuSb crystal.

Output
- Magnetization: 0.19 μB/f.u.
- Space group: Cm, No. 8
- Excess energy over the best structure of this formula in the dataset: 114 meV per atom
- ΔE_f (raw): 0.1 eV per formula unit

The structure in POSCAR format:
```
VCuSb
1.0
-0.288 -3.467 -1.846
3.686 -4.650 3.969
-2.468 -1.260 2.756
Sb Cu V
2 2 2
Direct
0.370 0.312 0.973
0.681 0.688 0.286
0.532 0.987 0.636
0.156 0.738 0.761
0.023 0.005 0.127
0.896 0.259 0.500
```

---

# 8
DFT (PBE) results for a relaxed PaIrPt3 crystal.

Output
- Magnetization: 0.00 μB/f.u.
- Space group: Pmmn, No. 59
- DFT formation energy: -0.56 eV/atom

The structure in POSCAR format:
```
PaIrPt3
1.0
4.307 0.000 0.000
0.000 6.752 0.000
0.000 0.000 6.312
Pt Ir Pa
6 2 2
Direct
0.000 0.000 0.957
0.500 0.803 0.742
0.000 0.303 0.258
0.500 0.197 0.742
0.500 0.500 0.043
0.000 0.697 0.258
0.000 0.000 0.541
0.500 0.500 0.459
0.000 0.500 0.735
0.500 0.000 0.265
```

---

> Which value of magnetization does entry 6 give?

0.00 μB/f.u.

---

> Among the records above, which one has the highest magnetization?

VCuSb

---

Copy entry 4 word for word.
DFT (PBE) results for a relaxed Th2ZnSiRh6 crystal.

Output
- Magnetization: 0.00 μB/f.u.
- Space group: Fm-3m, No. 225
- ΔE_f (raw): -5.4 eV per formula unit

The structure in POSCAR format:
```
Th2ZnSiRh6
1.0
-5.075 2.726 2.817
0.869 -3.710 5.157
0.600 2.664 5.802
Rh Th Zn Si
6 2 1 1
Direct
0.743 0.257 0.000
0.257 0.743 0.000
0.257 0.257 0.000
0.743 0.743 0.000
0.257 0.257 0.487
0.743 0.743 0.513
0.750 0.250 0.500
0.250 0.750 0.500
0.000 0.000 0.000
0.500 0.500 0.000
```

---

Please write out number 6 again, unchanged.
DFT (PBE) results for a relaxed Pm2CuPt3 crystal.

Output
- Magnetization: 0.00 μB/f.u.
- Space group: P6_3/mmc, No. 194
- Excess energy over the best structure of this formula in the dataset: 0 meV per atom
- DFT formation energy: -0.92 eV/atom

The structure in POSCAR format:
```
Pm2CuPt3
1.0
-4.817 -2.727 -0.610
3.142 -0.873 4.514
-4.090 6.315 4.068
Pt Pm Cu
6 4 2
Direct
0.668 0.834 0.250
0.332 0.166 0.750
0.166 0.834 0.250
0.834 0.166 0.750
0.834 0.668 0.750
0.166 0.332 0.250
0.333 0.667 0.560
0.333 0.667 0.940
0.667 0.333 0.060
0.667 0.333 0.440
0.000 0.000 0.500
0.000 0.000 0.000
```